No. 1
This record from Alexandria via LeMat-Bulk describes a relaxed CuHg2HPb crystal. The functional is PBE-GGA.

Computed properties:
- M_tot: 0.00 μB/f.u.
- N(E_F): 2.5 states/eV per cell
- Calculated density: 10.5 g/cm³
- Energy: -2.144 eV per atom

abc: 5.7182 5.7182 3.2571
angles: 90.00 90.00 90.00
With the nearest neighbours (Å) after each atom.
Space group P4/mmm (No. 123)
Inequivalent atoms, fractional coordinates:
Cu  0.0000  0.0000  0.0000 (multiplicity 1)  2 H 1.63
Hg  0.0000  0.5000  0.0000 (multiplicity 2)  2 Cu 2.86
H  0.0000  0.0000  0.5000 (multiplicity 1)  2 Cu 1.63
Pb  0.5000  0.5000  0.5000 (multiplicity 1)  2 Pb 3.26, 8 Hg 3.29

No. 2
This record from Alexandria via LeMat-Bulk describes a relaxed Cu2HgHPd crystal. The functional is PBE-GGA.

Computed properties:
- M_tot: 0.00 μB/f.u.
- E above lowest polymorph: 0.1634 eV/atom
- N(E_F): 1.7 states/eV per cell
- Calculated density: 11.2 g/cm³

abc: 3.8648 3.8648 4.3160
angles: 90.00 90.00 90.00
With the nearest neighbours (Å) after each atom.
Space group P4/mmm (No. 123)
Inequivalent atoms, fractional coordinates:
Cu  0.0000  0.5000  0.0000 (multiplicity 2)  2 H 1.93
Hg  0.0000  0.0000  0.5000 (multiplicity 1)  2 H 2.16
H  0.0000  0.0000  0.0000 (multiplicity 1)  4 Cu 1.93, 2 Hg 2.16
Pd  0.5000  0.5000  0.5000 (multiplicity 1)  4 Hg 2.73, 8 Cu 2.90

No. 3
This record from Alexandria via LeMat-Bulk describes a relaxed Cu2HgHPd crystal. The functional is PBE-GGA.

Computed properties:
- M_tot: 0.00 μB/f.u.
- E above lowest polymorph: 0.0000 eV/atom
- N(E_F): 2.1 states/eV per cell
- Calculated density: 11.4 g/cm³

abc: 4.0863 4.0863 3.7882
angles: 90.00 90.00 90.00
With the nearest neighbours (Å) after each atom.
Space group P4/mmm (No. 123)
Inequivalent atoms, fractional coordinates:
Cu  0.0000  0.5000  0.0000 (multiplicity 2)  2 H 2.04
Hg  0.0000  0.0000  0.5000 (multiplicity 1)  8 Cu 2.79, 4 Pd 2.89
H  0.5000  0.5000  0.0000 (multiplicity 1)  2 Pd 1.89, 4 Cu 2.04
Pd  0.5000  0.5000  0.5000 (multiplicity 1)  2 H 1.89

No. 4
This record from Alexandria via LeMat-Bulk describes a relaxed Cu2HgHPt crystal. The functional is PBE-GGA.

Computed properties:
- M_tot: 0.00 μB/f.u.
- N(E_F): 1.9 states/eV per cell
- Calculated density: 13.6 g/cm³
- Energy: -3.538 eV per atom

abc: 4.1347 4.1347 3.7326
angles: 90.00 90.00 90.00
With the nearest neighbours (Å) after each atom.
Space group P4/mmm (No. 123)
Inequivalent atoms, fractional coordinates:
Cu  0.0000  0.5000  0.0000 (multiplicity 2)  2 H 2.07
Hg  0.0000  0.0000  0.5000 (multiplicity 1)  8 Cu 2.79, 4 Pt 2.92
H  0.5000  0.5000  0.0000 (multiplicity 1)  2 Pt 1.87, 4 Cu 2.07
Pt  0.5000  0.5000  0.5000 (multiplicity 1)  2 H 1.87

No. 5
This record from Alexandria via LeMat-Bulk describes a relaxed Cu2HgHRh crystal. The functional is PBE-GGA.

Computed properties:
- M_tot: 0.00 μB/f.u.
- N(E_F): 0.7 states/eV per cell
- Calculated density: 11.7 g/cm³
- Energy: -3.836 eV per atom

abc: 4.0474 4.0474 3.7463
angles: 90.00 90.00 90.00
With the nearest neighbours (Å) after each atom.
Space group P4/mmm (No. 123)
Inequivalent atoms, fractional coordinates:
Cu  0.0000  0.5000  0.0000 (multiplicity 2)  2 H 2.02
Hg  0.0000  0.0000  0.5000 (multiplicity 1)  8 Cu 2.76, 4 Rh 2.86
H  0.5000  0.5000  0.0000 (multiplicity 1)  2 Rh 1.87, 4 Cu 2.02
Rh  0.5000  0.5000  0.5000 (multiplicity 1)  2 H 1.87

No. 6
This record from Alexandria via LeMat-Bulk describes a relaxed Cu2HgHRu crystal. The functional is PBE-GGA.

Computed properties:
- M_tot: 1.32 μB/f.u.
- N(E_F): 3.6 states/eV per cell
- Calculated density: 9.3 g/cm³
- Energy: -3.472 eV per atom

abc: 4.8628 4.8628 3.2292
angles: 90.00 90.00 90.00
With the nearest neighbours (Å) after each atom.
Space group P4/mmm (No. 123)
Inequivalent atoms, fractional coordinates:
Cu  0.0000  0.5000  0.0000 (multiplicity 2)  2 Ru 2.43
Hg  0.0000  0.0000  0.5000 (multiplicity 1)  8 Cu 2.92, 2 Hg 3.23
H  0.5000  0.5000  0.5000 (multiplicity 1)  2 Ru 1.61
Ru  0.5000  0.5000  0.0000 (multiplicity 1)  2 H 1.61

No. 7
This record from Alexandria via LeMat-Bulk describes a relaxed CuHgSb2H crystal. The functional is PBE-GGA.

Computed properties:
- M_tot: 0.00 μB/f.u.
- N(E_F): 1.3 states/eV per cell
- Calculated density: 8.7 g/cm³
- Energy: -2.997 eV per atom

abc: 5.4417 5.4417 3.2923
angles: 90.00 90.00 90.00
With the nearest neighbours (Å) after each atom.
Space group P4/mmm (No. 123)
Inequivalent atoms, fractional coordinates:
Cu  0.0000  0.0000  0.0000 (multiplicity 1)  2 H 1.65
Hg  0.5000  0.5000  0.5000 (multiplicity 1)  8 Sb 3.18, 2 Hg 3.29
Sb  0.0000  0.5000  0.0000 (multiplicity 2)  2 Cu 2.72
H  0.0000  0.0000  0.5000 (multiplicity 1)  2 Cu 1.65

No. 8
This record from Alexandria via LeMat-Bulk describes a relaxed Sc2CuHgH crystal. The functional is PBE-GGA.

Computed properties:
- M_tot: 0.35 μB/f.u.
- N(E_F): 3.6 states/eV per cell
- Calculated density: 7.4 g/cm³
- Energy: -4.415 eV per atom

abc: 4.6568 4.6568 3.6770
angles: 90.00 90.00 90.00
With the nearest neighbours (Å) after each atom.
Space group P4/mmm (No. 123)
Inequivalent atoms, fractional coordinates:
Sc  0.0000  0.5000  0.0000 (multiplicity 2)  2 H 2.33
Cu  0.0000  0.0000  0.5000 (multiplicity 1)  2 H 1.84
Hg  0.5000  0.5000  0.5000 (multiplicity 1)  8 Sc 2.97, 4 Cu 3.29
H  0.0000  0.0000  0.0000 (multiplicity 1)  2 Cu 1.84

No. 9
This record from Alexandria via LeMat-Bulk describes a relaxed ScCu2HgH crystal. The functional is PBE-GGA.

Computed properties:
- M_tot: 0.19 μB/f.u.
- E above lowest polymorph: 1.3459 eV/atom
- N(E_F): 2.9 states/eV per cell
- Calculated density: 4.2 g/cm³

abc: 5.0545 5.0545 5.7482
angles: 90.00 90.00 90.00
With the nearest neighbours (Å) after each atom.
Space group P4/mmm (No. 123)
Inequivalent atoms, fractional coordinates:
Sc  0.0000  0.0000  0.0000 (multiplicity 1)  4 Cu 2.53
Cu  0.0000  0.5000  0.0000 (multiplicity 2)  2 Sc 2.53
Hg  0.0000  0.0000  0.5000 (multiplicity 1)  2 Sc 2.87
H  0.5000  0.5000  0.5000 (multiplicity 1)  4 Hg 3.57, 8 Cu 3.83

No. 10
This record from Alexandria via LeMat-Bulk describes a relaxed ScCu2HgH crystal. The functional is PBE-GGA.

Computed properties:
- M_tot: 0.00 μB/f.u.
- E above lowest polymorph: 0.0000 eV/atom
- N(E_F): 2.0 states/eV per cell
- Calculated density: 8.8 g/cm³

abc: 4.1733 4.1733 4.0266
angles: 90.00 90.00 90.00
With the nearest neighbours (Å) after each atom.
Space group P4/mmm (No. 123)
Inequivalent atoms, fractional coordinates:
Sc  0.0000  0.0000  0.0000 (multiplicity 1)  2 H 2.01
Cu  0.0000  0.5000  0.5000 (multiplicity 2)  2 H 2.09
Hg  0.5000  0.5000  0.0000 (multiplicity 1)  8 Cu 2.90, 4 Sc 2.95
H  0.0000  0.0000  0.5000 (multiplicity 1)  2 Sc 2.01, 4 Cu 2.09

No. 11
This record from Alexandria via LeMat-Bulk describes a relaxed SrCu2HgH crystal. The functional is PBE-GGA.

Computed properties:
- M_tot: 0.00 μB/f.u.
- N(E_F): 4.0 states/eV per cell
- Calculated density: 5.1 g/cm³
- Energy: -1.942 eV per atom

abc: 5.6891 5.6891 4.2271
angles: 90.00 90.00 90.00
With the nearest neighbours (Å) after each atom.
Space group P4/mmm (No. 123)
Inequivalent atoms, fractional coordinates:
Sr  0.0000  0.0000  0.0000 (multiplicity 1)  2 H 2.11
Cu  0.0000  0.5000  0.0000 (multiplicity 2)  2 Sr 2.84
Hg  0.5000  0.5000  0.5000 (multiplicity 1)  8 Cu 3.54
H  0.0000  0.0000  0.5000 (multiplicity 1)  2 Sr 2.11

No. 12
This record from Alexandria via LeMat-Bulk describes a relaxed Ti2CuHgH crystal. The functional is PBE-GGA.

Computed properties:
- M_tot: 2.04 μB/f.u.
- E above lowest polymorph: 0.6177 eV/atom
- N(E_F): 3.9 states/eV per cell
- Calculated density: 7.6 g/cm³

abc: 5.0269 5.0269 3.1294
angles: 90.00 90.00 90.00
With the nearest neighbours (Å) after each atom.
Space group P4/mmm (No. 123)
Inequivalent atoms, fractional coordinates:
Ti  0.0000  0.5000  0.0000 (multiplicity 2)  2 Cu 2.51
Cu  0.0000  0.0000  0.0000 (multiplicity 1)  2 H 1.56
Hg  0.5000  0.5000  0.5000 (multiplicity 1)  8 Ti 2.96, 2 Hg 3.13
H  0.0000  0.0000  0.5000 (multiplicity 1)  2 Cu 1.56

No. 13
This record from Alexandria via LeMat-Bulk describes a relaxed Ti2CuHgH crystal. The functional is PBE-GGA.

Computed properties:
- M_tot: 0.00 μB/f.u.
- E above lowest polymorph: 0.0000 eV/atom
- N(E_F): 4.5 states/eV per cell
- Calculated density: 8.9 g/cm³

abc: 4.0605 4.0605 4.0923
angles: 90.00 90.00 90.00
With the nearest neighbours (Å) after each atom.
Space group P4/mmm (No. 123)
Inequivalent atoms, fractional coordinates:
Ti  0.0000  0.5000  0.0000 (multiplicity 2)  2 H 2.03
Cu  0.0000  0.0000  0.5000 (multiplicity 1)  2 H 2.05
Hg  0.5000  0.5000  0.5000 (multiplicity 1)  4 Cu 2.87, 8 Ti 2.88
H  0.0000  0.0000  0.0000 (multiplicity 1)  4 Ti 2.03, 2 Cu 2.05